Entry 1:
# La7PmNd4

An optimized crystal structure of La7PmNd4 (PBE-GGA, Alexandria via LeMat-Bulk).

Output
**Calculated volume**: 436.0 Å³ per cell
**VASP energy**: -4.8477 eV per atom
**Energy of formation from the pure elements**: 0.14 eV/f.u.

a = 6.487 Å, b = 7.486 Å, c = 9.235 Å
α = 89.94°, β = 76.44°, γ = 90.00°
Space group P-1 (No. 2)
One atom of each set of equivalent atoms:
La 0.000 0.000 0.000 x1
La 0.222 0.499 0.332 x2
La 0.279 0.750 0.668 x2
La 0.500 0.251 0.999 x2
Pm 0.000 0.500 0.000 x1
Nd 0.223 0.000 0.331 x2
Nd 0.275 0.249 0.670 x2

---

Entry 2:
# La2TlNiBr

An optimized crystal structure of La2TlNiBr (PBE-GGA, Alexandria via LeMat-Bulk).

Output
**Calculated volume**: 175.7 Å³ per cell
**VASP energy**: -3.8660 eV per atom

a = 6.063 Å, b = 6.063 Å, c = 4.780 Å
α = 90.00°, β = 90.00°, γ = 90.00°
Space group P4/mmm (No. 123)
One atom of each set of equivalent atoms:
La 0.000 0.500 0.000 x2
Tl 0.000 0.000 0.000 x1
Ni 0.000 0.000 0.500 x1
Br 0.500 0.500 0.500 x1

---

Entry 3:
# CaTm2Hg9

An optimized crystal structure of CaTm2Hg9 (PBE-GGA, Alexandria via LeMat-Bulk).

Output
**Calculated volume**: 293.4 Å³ per cell
**VASP energy**: -1.4486 eV per atom
**Energy of formation from the pure elements**: -3.72 eV/f.u.

a = 4.654 Å, b = 4.654 Å, c = 13.543 Å
α = 90.00°, β = 90.00°, γ = 90.00°
Space group P4/mmm (No. 123)
One atom of each set of equivalent atoms:
Ca 0.000 0.000 0.000 x1
Tm 0.000 0.000 0.336 x2
Hg 0.000 0.500 0.173 x4
Hg 0.000 0.500 0.500 x2
Hg 0.500 0.500 0.000 x1
Hg 0.500 0.500 0.338 x2

---

Entry 4:
# ErAl2F8

An optimized crystal structure of ErAl2F8 (PBE-GGA, Alexandria via LeMat-Bulk).

Output
**Calculated volume**: 284.2 Å³ per cell
**VASP energy**: -5.7304 eV per atom

a = 10.624 Å, b = 5.829 Å, c = 4.622 Å
α = 90.00°, β = 96.86°, γ = 90.00°
Space group C2/m (No. 12)
One atom of each set of equivalent atoms:
Er 0.000 0.000 0.000 x2
Al 0.224 0.500 0.481 x4
F 0.116 0.500 0.727 x4
F 0.160 0.218 0.312 x8
F 0.176 0.000 0.800 x4

---

Entry 5:
# Cs2BaHgF6

An optimized crystal structure of Cs2BaHgF6 (PBE-GGA, Alexandria via LeMat-Bulk).

Output
**Calculated volume**: 937.7 Å³ per cell
**VASP energy**: -4.1801 eV per atom

a = 9.788 Å, b = 9.788 Å, c = 9.788 Å
α = 90.00°, β = 90.00°, γ = 90.00°
Space group Fm-3m (No. 225)
One atom of each set of equivalent atoms:
Cs 0.250 0.250 0.250 x8
Ba 0.000 0.000 0.000 x4
Hg 0.000 0.000 0.500 x4
F 0.000 0.000 0.261 x24

---

Entry 6:
# CdIn2Hg2Pb4

An optimized crystal structure of CdIn2Hg2Pb4 (PBE-GGA, Alexandria via LeMat-Bulk).

Output
**Calculated volume**: 264.1 Å³ per cell
**VASP energy**: -2.3719 eV per atom
**Energy of formation from the pure elements**: 0.48 eV/f.u.

a = 6.432 Å, b = 6.474 Å, c = 6.986 Å
α = 74.14°, β = 72.89°, γ = 77.06°
Space group P-1 (No. 2)
One atom of each set of equivalent atoms:
Cd 0.000 0.000 0.000 x1
In 0.367 0.158 0.646 x2
Hg 0.224 0.186 0.241 x2
Pb 0.187 0.673 0.365 x2
Pb 0.295 0.580 0.858 x2

---

Entry 7:
# La2TmPt2I2

An optimized crystal structure of La2TmPt2I2 (PBE-GGA, Alexandria via LeMat-Bulk).

Output
**Calculated volume**: 458.0 Å³ per cell
**VASP energy**: -5.2619 eV per atom

a = 5.234 Å, b = 5.234 Å, c = 16.719 Å
α = 90.00°, β = 90.00°, γ = 90.00°
Space group I4/mmm (No. 139)
One atom of each set of equivalent atoms:
La 0.000 0.000 0.105 x4
Tm 0.000 0.000 0.500 x2
Pt 0.000 0.500 0.000 x4
I 0.000 0.000 0.309 x4

---

Entry 8:
# Mg2AlIn

An optimized crystal structure of Mg2AlIn (PBE-GGA, Alexandria via LeMat-Bulk).

Output
**Calculated volume**: 379.5 Å³ per cell
**VASP energy**: -2.2595 eV per atom
**Energy of formation from the pure elements**: 0.63 eV/f.u.

a = 4.346 Å, b = 4.346 Å, c = 20.090 Å
α = 90.00°, β = 90.00°, γ = 90.00°
Space group I-42d (No. 122)
One atom of each set of equivalent atoms:
Mg 0.241 0.250 0.125 x8
Al 0.000 0.000 0.000 x4
In 0.000 0.000 0.500 x4

---

Entry 9:
# BaNpTe3Pd

An optimized crystal structure of BaNpTe3Pd (PBE-GGA, Alexandria via LeMat-Bulk).

Output
**Calculated volume**: 399.7 Å³ per cell
**VASP energy**: -5.8736 eV per atom

a = 9.292 Å, b = 4.476 Å, c = 9.992 Å
α = 90.00°, β = 105.93°, γ = 90.00°
Space group P2_1/m (No. 11)
One atom of each set of equivalent atoms:
Ba 0.191 0.250 0.252 x2
Np 0.320 0.750 0.840 x2
Te 0.105 0.250 0.872 x2
Te 0.224 0.750 0.529 x2
Te 0.447 0.750 0.166 x2
Pd 0.086 0.250 0.587 x2

---

Entry 10:
# AcCd3Pd

An optimized crystal structure of AcCd3Pd (PBE-GGA, Alexandria via LeMat-Bulk).

Output
**Calculated volume**: 254.2 Å³ per cell
**Energy relative to the lowest polymorph listed for this composition**: 0.038 eV per atom
**VASP energy**: -2.8011 eV per atom
**Energy of formation from the pure elements**: -1.96 eV/f.u.

a = 7.258 Å, b = 4.488 Å, c = 8.060 Å
α = 90.00°, β = 104.46°, γ = 90.00°
Space group P2_1/m (No. 11)
One atom of each set of equivalent atoms:
Ac 0.205 0.250 0.178 x2
Cd 0.086 0.250 0.653 x2
Cd 0.328 0.750 0.898 x2
Cd 0.339 0.750 0.525 x2
Pd 0.486 0.250 0.749 x2

---

Entry 11:
# Mg2AsPd5

An optimized crystal structure of Mg2AsPd5 (PBE-GGA, Alexandria via LeMat-Bulk).

Output
**Calculated volume**: 159.0 Å³ per cell
**Energy relative to the lowest polymorph listed for this composition**: 0.414 eV per atom
**VASP energy**: -4.4319 eV per atom
**Energy of formation from the pure elements**: -1.65 eV/f.u.

a = 5.884 Å, b = 5.884 Å, c = 4.591 Å
α = 90.00°, β = 90.00°, γ = 90.00°
Space group P4/mmm (No. 123)
One atom of each set of equivalent atoms:
Mg 0.000 0.500 0.000 x2
As 0.000 0.000 0.500 x1
Pd 0.000 0.000 0.000 x1
Pd 0.278 0.278 0.500 x4

---

Entry 12:
# LiMnAu

An optimized crystal structure of LiMnAu (PBE-GGA, Alexandria via LeMat-Bulk).

Output
**Calculated volume**: 194.8 Å³ per cell
**Energy relative to the lowest polymorph listed for this composition**: 0.108 eV per atom
**VASP energy**: -4.7794 eV per atom
**Energy of formation from the pure elements**: 0.02 eV/f.u.

a = 9.396 Å, b = 2.772 Å, c = 7.479 Å
α = 90.00°, β = 90.00°, γ = 90.00°
Space group Pnma (No. 62)
One atom of each set of equivalent atoms:
Li 0.129 0.250 0.220 x4
Mn 0.107 0.250 0.582 x4
Au 0.137 0.750 0.904 x4

---

Entry 13:
# LaPm4Dy2Ho2

An optimized crystal structure of LaPm4Dy2Ho2 (PBE-GGA, Alexandria via LeMat-Bulk).

Output
**Calculated volume**: 598.7 Å³ per cell
**VASP energy**: -4.6779 eV per atom
**Energy of formation from the pure elements**: 0.19 eV/f.u.

a = 15.316 Å, b = 5.101 Å, c = 8.071 Å
α = 90.00°, β = 108.28°, γ = 90.00°
Space group C2/m (No. 12)
One atom of each set of equivalent atoms:
La 0.000 0.000 0.000 x2
Pm 0.055 0.500 0.334 x4
Pm 0.223 0.000 0.332 x4
Dy 0.111 0.000 0.666 x4
Ho 0.169 0.500 0.999 x4

---

Entry 14:
# AcCeHg

An optimized crystal structure of AcCeHg (PBE-GGA, Alexandria via LeMat-Bulk).

Output
**Calculated volume**: 201.7 Å³ per cell
**Energy relative to the lowest polymorph listed for this composition**: 0.000 eV per atom
**VASP energy**: -3.6222 eV per atom
**Energy of formation from the pure elements**: -0.52 eV/f.u.

a = 3.929 Å, b = 3.929 Å, c = 13.063 Å
α = 90.00°, β = 90.00°, γ = 90.00°
Space group I4mm (No. 107)
One atom of each set of equivalent atoms:
Ac 0.000 0.000 0.000 x2
Ce 0.000 0.000 0.298 x2
Hg 0.000 0.000 0.666 x2

---

Entry 15:
# Ac2NpAgO6

An optimized crystal structure of Ac2NpAgO6 (PBE-GGA, Alexandria via LeMat-Bulk).

Output
**Calculated volume**: 524.8 Å³ per cell
**VASP energy**: -8.0712 eV per atom

a = 6.2421 Å, b = 6.2421 Å, c = 15.5515 Å
α = 90.00°, β = 90.00°, γ = 120.00°
Space group R3 (No. 146, hexagonal axes)
One atom of each set of equivalent atoms:
Ac 0.0000 0.0000 0.0000 x3
Ac 0.0000 0.0000 0.4898 x3
Np 0.0000 0.0000 0.7792 x3
Ag 0.0000 0.0000 0.2527 x3
O 0.0131 0.7424 0.8689 x9
O 0.0539 0.3416 0.3819 x9

---

Entry 16:
# ZrC3

An optimized crystal structure of ZrC3 (PBE-GGA, Alexandria via LeMat-Bulk).

Output
**Calculated volume**: 82.4 Å³ per cell
**Energy relative to the lowest polymorph listed for this composition**: 0.332 eV per atom
**VASP energy**: -8.4617 eV per atom
**Energy of formation from the pure elements**: 2.37 eV/f.u.

a = 7.115 Å, b = 2.748 Å, c = 4.782 Å
α = 90.00°, β = 118.19°, γ = 90.00°
Space group C2/m (No. 12)
One atom of each set of equivalent atoms:
Zr 0.000 0.000 0.000 x2
C 0.000 0.500 0.500 x2
C 0.186 0.500 0.478 x4

---

Entry 17:
# SmRhAu

An optimized crystal structure of SmRhAu (PBE-GGA, Alexandria via LeMat-Bulk).

Output
**Calculated volume**: 133.1 Å³ per cell
**Energy relative to the lowest polymorph listed for this composition**: 0.105 eV per atom
**VASP energy**: -5.6575 eV per atom
**Energy of formation from the pure elements**: -1.62 eV/f.u.

a = 5.436 Å, b = 4.643 Å, c = 5.505 Å
α = 90.00°, β = 106.62°, γ = 90.00°
Space group P2_1/m (No. 11)
One atom of each set of equivalent atoms:
Sm 0.119 0.250 0.297 x2
Rh 0.351 0.750 0.596 x2
Au 0.422 0.750 0.118 x2

---

Entry 18:
# K2TaS4

An optimized crystal structure of K2TaS4 (PBE-GGA, Alexandria via LeMat-Bulk).

Output
**Calculated volume**: 207.0 Å³ per cell
**Energy relative to the lowest polymorph listed for this composition**: 0.444 eV per atom
**VASP energy**: -4.9432 eV per atom

a = 6.863 Å, b = 6.863 Å, c = 4.394 Å
α = 90.00°, β = 90.00°, γ = 90.00°
Space group P4/mmm (No. 123)
One atom of each set of equivalent atoms:
K 0.000 0.500 0.000 x2
Ta 0.000 0.000 0.500 x1
S 0.242 0.242 0.500 x4

---

Entry 19:
# LaNiRu4

An optimized crystal structure of LaNiRu4 (PBE-GGA, Alexandria via LeMat-Bulk).

Output
**Calculated volume**: 415.8 Å³ per cell
**VASP energy**: -7.5910 eV per atom
**Energy of formation from the pure elements**: 2.27 eV/f.u.

a = 7.464 Å, b = 7.464 Å, c = 7.464 Å
α = 90.00°, β = 90.00°, γ = 90.00°
Space group F-43m (No. 216)
One atom of each set of equivalent atoms:
La 0.000 0.000 0.000 x4
Ni 0.250 0.250 0.750 x4
Ru 0.124 0.124 0.376 x16

---

Entry 20:
# HfVSN2

An optimized crystal structure of HfVSN2 (PBE-GGA, Alexandria via LeMat-Bulk).

Output
**Calculated volume**: 84.5 Å³ per cell
**Energy relative to the lowest polymorph listed for this composition**: 0.466 eV per atom
**VASP energy**: -7.7306 eV per atom

a = 4.084 Å, b = 4.084 Å, c = 5.066 Å
α = 90.00°, β = 90.00°, γ = 90.00°
Space group P4/mmm (No. 123)
One atom of each set of equivalent atoms:
Hf 0.000 0.000 0.000 x1
V 0.500 0.500 0.500 x1
S 0.000 0.000 0.500 x1
N 0.000 0.500 0.000 x2

---

Entry 21:
# CsPmGeBr6

An optimized crystal structure of CsPmGeBr6 (PBE-GGA, Alexandria via LeMat-Bulk).

Output
**Calculated volume**: 390.1 Å³ per cell
**VASP energy**: -3.7062 eV per atom

a = 7.4701 Å, b = 7.4701 Å, c = 8.0713 Å
α = 90.00°, β = 90.00°, γ = 120.00°
Space group P312 (No. 149)
One atom of each set of equivalent atoms:
Cs 0.0000 0.0000 0.0000 x1
Pm 0.6667 0.3333 0.5000 x1
Ge 0.3333 0.6667 0.5000 x1
Br 0.0052 0.3809 0.7048 x6

---

Entry 22:
# AlAsC2

An optimized crystal structure of AlAsC2 (PBE-GGA, Alexandria via LeMat-Bulk).

Output
**Calculated volume**: 193.9 Å³ per cell
**Energy relative to the lowest polymorph listed for this composition**: 0.000 eV per atom
**VASP energy**: -6.3533 eV per atom
**Energy of formation from the pure elements**: 1.43 eV/f.u.

a = 4.628 Å, b = 4.628 Å, c = 9.055 Å
α = 90.00°, β = 90.00°, γ = 90.00°
Space group I-42d (No. 122)
One atom of each set of equivalent atoms:
Al 0.000 0.000 0.000 x4
As 0.000 0.000 0.500 x4
C 0.237 0.250 0.625 x8

---

Entry 23:
# CsBaAs2N

An optimized crystal structure of CsBaAs2N (PBE-GGA, Alexandria via LeMat-Bulk).

Output
**Calculated volume**: 218.9 Å³ per cell
**VASP energy**: -2.3205 eV per atom

a = 5.731 Å, b = 5.731 Å, c = 6.665 Å
α = 90.00°, β = 90.00°, γ = 90.00°
Space group P4/mmm (No. 123)
One atom of each set of equivalent atoms:
Cs 0.000 0.000 0.000 x1
Ba 0.000 0.000 0.500 x1
As 0.000 0.500 0.000 x2
N 0.500 0.500 0.500 x1

---

Entry 24:
# CaIn3Pd3

An optimized crystal structure of CaIn3Pd3 (PBE-GGA, Alexandria via LeMat-Bulk).

Output
**Calculated volume**: 942.3 Å³ per cell
**Energy relative to the lowest polymorph listed for this composition**: 0.041 eV per atom
**VASP energy**: -4.1509 eV per atom
**Energy of formation from the pure elements**: -3.26 eV/f.u.

a = 8.1284 Å, b = 8.1284 Å, c = 16.4680 Å
α = 90.00°, β = 90.00°, γ = 120.00°
Space group R-3 (No. 148, hexagonal axes)
One atom of each set of equivalent atoms:
Ca 0.0000 0.0000 0.1683 x6
In 0.0023 0.6623 0.2835 x18
Pd 0.0017 0.6984 0.4484 x18

---

Listing D(E_F) for the structures above in their given order: 1.575; 0.977; 0.556; 0.130; 0.000; 0.494; 0.862; 0.443; 1.882; 0.646; 0.425; 0.723; 1.490; 2.696; 0.816; 0.159; 0.420; 0.676; 1.512; 0.827; 0.000; 0.000; 0.958; 0.494 states/eV per atom.